An optimized crystal structure of Rb2NiIrO6, computed with PBE with a Hubbard U.

Its uncorrected energy is -5.20 eV/atom.

The space group is P-3m1 (No. 164) and the conventional cell measures 6.1696, 6.1696 and 5.0587 Å, with angles of 90.00, 90.00 and 120.00 degrees. The distinct sites, in fractional coordinates, are Rb at (0.3333, 0.6667, 0.2906), Ni at (0.0000, 0.0000, 0.5000), Ir at (0.0000, 0.0000, 0.0000) and O at (0.1369, 0.2739, 0.7441).